Cs2ZnTe2, optimized geometry, DFT PBE; E = -13.23 eV/cell
1.0
-3.759 3.759 6.845
3.759 -3.759 6.845
3.759 3.759 -6.845
Cs Zn Te
2 1 2
direct
0.250 0.750 0.500
0.750 0.250 0.500
0.000 0.000 0.000
0.179 0.179 0.000
0.821 0.821 0.000

Cs2ZrTe3, optimized geometry, DFT PBE; E = -52.13 eV/cell
1.0
7.097 -5.118 0.000
7.097 5.118 0.000
-0.304 0.000 7.721
Cs Zr Te
4 2 6
direct
0.013 0.679 0.771
0.321 0.987 0.729
0.679 0.013 0.271
0.987 0.321 0.229
0.418 0.582 0.250
0.582 0.418 0.750
0.153 0.847 0.250
0.350 0.371 0.499
0.371 0.350 0.999
0.629 0.650 0.001
0.650 0.629 0.501
0.847 0.153 0.750

Cs2ZrTe6, optimized geometry, DFT PBE; E = -34.70 eV/cell
1.0
8.107 -4.853 0.000
8.107 4.853 0.000
-0.527 0.000 5.133
Cs Zr Te
2 1 6
direct
0.207 0.207 0.470
0.793 0.793 0.530
0.500 0.500 0.000
0.167 0.569 0.065
0.321 0.679 0.500
0.431 0.833 0.935
0.569 0.167 0.065
0.679 0.321 0.500
0.833 0.431 0.935

Cs4ZrTe5, optimized geometry, DFT PBE; E = -36.18 eV/cell
1.0
-5.814 5.814 3.924
5.814 -5.814 3.924
5.814 5.814 -3.924
Cs Zr Te
4 1 5
direct
0.076 0.699 0.775
0.301 0.076 0.377
0.699 0.924 0.623
0.924 0.301 0.225
0.402 0.402 0.000
0.054 0.054 0.000
0.285 0.436 0.705
0.436 0.731 0.152
0.579 0.285 0.848
0.731 0.579 0.295

Cs2Zr2Te, optimized geometry, DFT PBE; distance to the lowest polymorph of the same formula = 0 meV/atom; E = -17.55 eV/cell
1.0
-2.301 2.301 8.936
2.301 -2.301 8.936
2.301 2.301 -8.936
Cs Zr Te
2 2 1
direct
0.250 0.750 0.500
0.750 0.250 0.500
0.066 0.066 0.000
0.934 0.934 0.000
0.500 0.500 0.000

CsZr2Te4, optimized geometry, DFT PBE; distance to the lowest polymorph of the same formula = 153 meV/atom; E = -72.76 eV/cell
1.0
2.149 -7.305 0.000
2.149 7.305 0.000
0.000 0.000 15.040
Cs Zr Te
2 4 8
direct
0.108 0.892 0.750
0.892 0.108 0.250
0.373 0.627 0.564
0.373 0.627 0.936
0.627 0.373 0.064
0.627 0.373 0.436
0.000 0.000 0.000
0.000 0.000 0.500
0.262 0.738 0.100
0.262 0.738 0.400
0.405 0.595 0.750
0.595 0.405 0.250
0.738 0.262 0.600
0.738 0.262 0.900

The evaluated uncorrected formation energy for the records listed, in turn: -793; -1064; -621; -851; 879; -837 meV per atom.